Record 1
The following is a PBE calculation of a relaxed structure of K4Na5, from Alexandria.

Cell lengths 6.1664, 9.2091, 9.2091 Å; angles 84.15, 70.78, 70.78 degrees
Atoms (fractional coordinates):
K  0.1871  0.3131  0.3132
K  0.5000  0.6872  0.3127
K  0.5000  0.3128  0.6873
K  0.8129  0.6869  0.6868
Na  0.5000  0.0000  0.0000
Na  0.1519  0.6953  0.9999
Na  0.1519  0.9997  0.6953
Na  0.8481  0.0003  0.3047
Na  0.8481  0.3047  0.0001

Calculated values
As for the symmetry: No. 12. For the energy of formation from the pure elements, the calculation gives 0.032 eV per atom. Its density of states at the Fermi level is 5.2 states/eV/f.u.

Record 2
The following is a PBE calculation of a relaxed structure of K7Na5, from Alexandria.

Cell lengths 6.6541, 8.2061, 14.1109 Å; angles 75.88, 76.36, 66.08 degrees
Atoms (fractional coordinates):
K  0.6052  0.0495  0.7402
K  0.3948  0.9505  0.2598
K  0.0851  0.5589  0.2709
K  0.9149  0.4411  0.7291
K  0.3410  0.3291  0.9889
K  0.5000  0.5000  0.5000
K  0.6590  0.6709  0.0111
Na  0.8114  0.9047  0.4725
Na  0.1886  0.0953  0.5275
Na  0.7632  0.2397  0.2339
Na  0.2368  0.7603  0.7661
Na  0.0000  0.0000  0.0000

Calculated values
As for the symmetry: No. 12. For the energy of formation from the pure elements, the calculation gives 0.026 eV per atom. The offset from the most stable computed form comes out at 0 meV per atom. Its density of states at the Fermi level is 7.6 states/eV/f.u.